Below is a relaxed structure of Ac2NiPd6Pb, with properties calculated at the PBE-GGA level.

Unit cell a=5.553 b=6.828 c=6.976 alpha=80.50 beta=66.60 gamma=66.10
Sites, in units of the cell vectors:
Ac 0.231 0.297 0.240
Ac 0.769 0.703 0.760
Ni 0.500 0.500 0.500
Pd 0.252 0.264 0.748
Pd 0.258 0.905 0.583
Pd 0.260 0.737 0.255
Pd 0.740 0.263 0.745
Pd 0.742 0.095 0.417
Pd 0.748 0.736 0.252
Pb 0.000 0.000 0.000

Values from the calculation:
Density of states at the Fermi level (states/eV/f.u.): 4.4
DFT total energy (eV for the cell shown): -54.0
E_form (eV per formula unit): -5.10
Size of the total moment (μB/atom): 0.00